## i
An optimized crystal structure of BAsC3, computed with PBE-GGA.

The structure in CIF format:
```
data_BAsC3
_chemical_formula_sum 'B1 As1 C3'
_cell_length_a 3.8815
_cell_length_b 3.8815
_cell_length_c 3.8815
_cell_angle_alpha 90.00
_cell_angle_beta 90.00
_cell_angle_gamma 90.00
_symmetry_space_group_name_H-M 'P 1'
_symmetry_Int_Tables_number 1
loop_
_symmetry_equiv_pos_as_xyz
'x,y,z'
loop_
_atom_site_label
_atom_site_type_symbol
_atom_site_fract_x
_atom_site_fract_y
_atom_site_fract_z
As1 As 0.0000 0.0000 0.0000
B1 B 0.5000 0.5000 0.5000
C1 C 0.0000 0.5000 0.0000
C2 C 0.0000 0.0000 0.5000
C3 C 0.5000 0.0000 0.0000
```

Calculated values
- Crystal system: cubic
- Symmetry: Pm-3m, No. 221

=====

## ii
An optimized crystal structure of BAsC3, computed with PBE-GGA.

The structure in CIF format:
```
data_BAsC3
_chemical_formula_sum 'B1 As1 C3'
_cell_length_a 3.5547
_cell_length_b 3.5547
_cell_length_c 3.5547
_cell_angle_alpha 90.00
_cell_angle_beta 90.00
_cell_angle_gamma 90.00
_symmetry_space_group_name_H-M 'P 1'
_symmetry_Int_Tables_number 1
loop_
_symmetry_equiv_pos_as_xyz
'x,y,z'
loop_
_atom_site_label
_atom_site_type_symbol
_atom_site_fract_x
_atom_site_fract_y
_atom_site_fract_z
As1 As 0.5000 0.5000 0.5000
B1 B 0.0000 0.0000 0.0000
C1 C 0.0000 0.5000 0.0000
C2 C 0.0000 0.0000 0.5000
C3 C 0.5000 0.0000 0.0000
```

Calculated values
- Crystal system: cubic
- Symmetry: Pm-3m, No. 221

=====

It turns out ii is the most stable, with the second structure 989 meV/atom higher.

=====

## i
An optimized crystal structure of B3AsC, computed with PBE-GGA.

The structure in CIF format:
```
data_B3AsC
_chemical_formula_sum 'B3 As1 C1'
_cell_length_a 3.5771
_cell_length_b 3.5771
_cell_length_c 3.5771
_cell_angle_alpha 90.00
_cell_angle_beta 90.00
_cell_angle_gamma 90.00
_symmetry_space_group_name_H-M 'P 1'
_symmetry_Int_Tables_number 1
loop_
_symmetry_equiv_pos_as_xyz
'x,y,z'
loop_
_atom_site_label
_atom_site_type_symbol
_atom_site_fract_x
_atom_site_fract_y
_atom_site_fract_z
As1 As 0.5000 0.5000 0.5000
B1 B 0.0000 0.5000 0.0000
B2 B 0.0000 0.0000 0.5000
B3 B 0.5000 0.0000 0.0000
C1 C 0.0000 0.0000 0.0000
```

Calculated values
- Crystal system: cubic
- Symmetry: Pm-3m, No. 221

=====

## ii
An optimized crystal structure of B3AsC, computed with PBE-GGA.

The structure in CIF format:
```
data_B3AsC
_chemical_formula_sum 'B3 As1 C1'
_cell_length_a 4.0334
_cell_length_b 4.0334
_cell_length_c 4.0334
_cell_angle_alpha 90.00
_cell_angle_beta 90.00
_cell_angle_gamma 90.00
_symmetry_space_group_name_H-M 'P 1'
_symmetry_Int_Tables_number 1
loop_
_symmetry_equiv_pos_as_xyz
'x,y,z'
loop_
_atom_site_label
_atom_site_type_symbol
_atom_site_fract_x
_atom_site_fract_y
_atom_site_fract_z
As1 As 0.0000 0.0000 0.0000
B1 B 0.0000 0.5000 0.0000
B2 B 0.0000 0.0000 0.5000
B3 B 0.5000 0.0000 0.0000
C1 C 0.5000 0.5000 0.5000
```

Calculated values
- Crystal system: cubic
- Symmetry: Pm-3m, No. 221

=====

It turns out i is the most stable, with the second structure 1271 meV/atom higher.

=====

## i
An optimized crystal structure of CaBAsSe2, computed with PBE-GGA.

The structure in CIF format:
```
data_CaBAsSe2
_chemical_formula_sum 'Ca1 B1 As1 Se2'
_cell_length_a 5.4065
_cell_length_b 4.7100
_cell_length_c 5.4065
_cell_angle_alpha 90.00
_cell_angle_beta 90.00
_cell_angle_gamma 90.00
_symmetry_space_group_name_H-M 'P 1'
_symmetry_Int_Tables_number 1
loop_
_symmetry_equiv_pos_as_xyz
'x,y,z'
loop_
_atom_site_label
_atom_site_type_symbol
_atom_site_fract_x
_atom_site_fract_y
_atom_site_fract_z
As1 As 0.5000 0.5000 0.5000
B1 B 0.0000 0.5000 0.0000
Ca1 Ca 0.0000 0.0000 0.0000
Se1 Se 0.0000 0.0000 0.5000
Se2 Se 0.5000 0.0000 0.0000
```

Calculated values
- Crystal system: tetragonal
- Symmetry: P4/mmm, No. 123

=====

## ii
An optimized crystal structure of CaBAsSe2, computed with PBE-GGA.

The structure in CIF format:
```
data_CaBAsSe2
_chemical_formula_sum 'Ca1 B1 As1 Se2'
_cell_length_a 5.4239
_cell_length_b 5.4239
_cell_length_c 5.4217
_cell_angle_alpha 90.00
_cell_angle_beta 90.00
_cell_angle_gamma 90.00
_symmetry_space_group_name_H-M 'P 1'
_symmetry_Int_Tables_number 1
loop_
_symmetry_equiv_pos_as_xyz
'x,y,z'
loop_
_atom_site_label
_atom_site_type_symbol
_atom_site_fract_x
_atom_site_fract_y
_atom_site_fract_z
As1 As 0.0000 0.0000 0.5000
B1 B 0.5000 0.5000 0.5000
Ca1 Ca 0.0000 0.0000 0.0000
Se1 Se 0.0000 0.5000 0.0000
Se2 Se 0.5000 0.0000 0.0000
```

Calculated values
- Crystal system: tetragonal
- Symmetry: P4/mmm, No. 123

=====

It turns out i is the most stable, with the second structure 109 meV/atom higher.

=====

## i
An optimized crystal structure of CdBAs2, computed with PBE-GGA.

The structure in CIF format:
```
data_CdBAs2
_chemical_formula_sum 'Cd2 B2 As4'
_cell_length_a 5.6942
_cell_length_b 5.6942
_cell_length_c 6.3653
_cell_angle_alpha 63.43
_cell_angle_beta 63.43
_cell_angle_gamma 90.00
_symmetry_space_group_name_H-M 'P 1'
_symmetry_Int_Tables_number 1
loop_
_symmetry_equiv_pos_as_xyz
'x,y,z'
loop_
_atom_site_label
_atom_site_type_symbol
_atom_site_fract_x
_atom_site_fract_y
_atom_site_fract_z
As1 As 0.5443 0.1250 0.2500
As2 As 0.2057 0.6250 0.2500
As3 As 0.3750 0.4557 0.7500
As4 As 0.8750 0.7943 0.7500
B1 B 0.5000 0.5000 0.0000
B2 B 0.2500 0.7500 0.5000
Cd1 Cd 0.0000 0.0000 0.0000
Cd2 Cd 0.7500 0.2500 0.5000
```

Calculated values
- Crystal system: tetragonal
- Symmetry: I-42d, No. 122

=====

## ii
An optimized crystal structure of CdBAs2, computed with PBE-GGA.

The structure in CIF format:
```
data_CdBAs2
_chemical_formula_sum 'Cd1 B1 As2'
_cell_length_a 4.6515
_cell_length_b 4.6515
_cell_length_c 4.6515
_cell_angle_alpha 60.00
_cell_angle_beta 60.00
_cell_angle_gamma 60.00
_symmetry_space_group_name_H-M 'P 1'
_symmetry_Int_Tables_number 1
loop_
_symmetry_equiv_pos_as_xyz
'x,y,z'
loop_
_atom_site_label
_atom_site_type_symbol
_atom_site_fract_x
_atom_site_fract_y
_atom_site_fract_z
As1 As 0.2500 0.2500 0.2500
As2 As 0.7500 0.7500 0.7500
B1 B 0.0000 0.0000 0.0000
Cd1 Cd 0.5000 0.5000 0.5000
```

Calculated values
- Crystal system: cubic
- Symmetry: Fm-3m, No. 225

=====

It turns out i is the most stable, with the second structure 929 meV/atom higher.

=====

## i
An optimized crystal structure of CdBAs2Se, computed with PBE-GGA.

The structure in CIF format:
```
data_CdBAs2Se
_chemical_formula_sum 'Cd1 B1 As2 Se1'
_cell_length_a 4.5207
_cell_length_b 4.5207
_cell_length_c 4.5557
_cell_angle_alpha 90.00
_cell_angle_beta 90.00
_cell_angle_gamma 90.00
_symmetry_space_group_name_H-M 'P 1'
_symmetry_Int_Tables_number 1
loop_
_symmetry_equiv_pos_as_xyz
'x,y,z'
loop_
_atom_site_label
_atom_site_type_symbol
_atom_site_fract_x
_atom_site_fract_y
_atom_site_fract_z
As1 As 0.0000 0.5000 0.0000
As2 As 0.5000 0.0000 0.0000
B1 B 0.0000 0.0000 0.0000
Se1 Se 0.0000 0.0000 0.5000
Cd1 Cd 0.5000 0.5000 0.5000
```

Calculated values
- Crystal system: tetragonal
- Symmetry: P4/mmm, No. 123

=====

## ii
An optimized crystal structure of CdBAs2Se, computed with PBE-GGA.

The structure in CIF format:
```
data_CdBAs2Se
_chemical_formula_sum 'Cd1 B1 As2 Se1'
_cell_length_a 5.1220
_cell_length_b 5.1220
_cell_length_c 5.3138
_cell_angle_alpha 90.00
_cell_angle_beta 90.00
_cell_angle_gamma 90.00
_symmetry_space_group_name_H-M 'P 1'
_symmetry_Int_Tables_number 1
loop_
_symmetry_equiv_pos_as_xyz
'x,y,z'
loop_
_atom_site_label
_atom_site_type_symbol
_atom_site_fract_x
_atom_site_fract_y
_atom_site_fract_z
As1 As 0.0000 0.5000 0.0000
As2 As 0.5000 0.0000 0.0000
B1 B 0.5000 0.5000 0.5000
Se1 Se 0.0000 0.0000 0.5000
Cd1 Cd 0.0000 0.0000 0.0000
```

Calculated values
- Crystal system: tetragonal
- Symmetry: P4/mmm, No. 123

=====

It turns out i is the most stable, with the second structure 1030 meV/atom higher.

=====

## i
An optimized crystal structure of BAs2Cl, computed with PBE-GGA.

The structure in CIF format:
```
data_BAs2Cl
_chemical_formula_sum 'B2 As4 Cl2'
_cell_length_a 5.9665
_cell_length_b 5.9665
_cell_length_c 6.2586
_cell_angle_alpha 61.53
_cell_angle_beta 61.53
_cell_angle_gamma 90.00
_symmetry_space_group_name_H-M 'P 1'
_symmetry_Int_Tables_number 1
loop_
_symmetry_equiv_pos_as_xyz
'x,y,z'
loop_
_atom_site_label
_atom_site_type_symbol
_atom_site_fract_x
_atom_site_fract_y
_atom_site_fract_z
As1 As 0.5252 0.1250 0.2500
As2 As 0.2248 0.6250 0.2500
As3 As 0.3750 0.4748 0.7500
As4 As 0.8750 0.7752 0.7500
B1 B 0.5000 0.5000 0.0000
B2 B 0.2500 0.7500 0.5000
Cl1 Cl 0.0000 0.0000 0.0000
Cl2 Cl 0.7500 0.2500 0.5000
```

Calculated values
- Crystal system: tetragonal
- Symmetry: I-42d, No. 122

=====

## ii
An optimized crystal structure of BAs2Cl, computed with PBE-GGA.

The structure in CIF format:
```
data_BAs2Cl
_chemical_formula_sum 'B1 As2 Cl1'
_cell_length_a 4.5011
_cell_length_b 4.5011
_cell_length_c 4.5011
_cell_angle_alpha 60.00
_cell_angle_beta 60.00
_cell_angle_gamma 60.00
_symmetry_space_group_name_H-M 'P 1'
_symmetry_Int_Tables_number 1
loop_
_symmetry_equiv_pos_as_xyz
'x,y,z'
loop_
_atom_site_label
_atom_site_type_symbol
_atom_site_fract_x
_atom_site_fract_y
_atom_site_fract_z
As1 As 0.2500 0.2500 0.2500
As2 As 0.7500 0.7500 0.7500
B1 B 0.0000 0.0000 0.0000
Cl1 Cl 0.5000 0.5000 0.5000
```

Calculated values
- Crystal system: cubic
- Symmetry: Fm-3m, No. 225

=====

It turns out i is the most stable, with the second structure 681 meV/atom higher.